# Tl2RuW (PBE, optimized geometry)
# Energy above the lowest structure with this stoichiometry ... 508 meV per atom
# DFT formation energy ... 3.68 eV/f.u.
# Final energy ... -23.28 eV/f.u.
data_Tl2RuW
_chemical_formula_sum 'Tl6 Ru3 W3'
_space_group_name_H-M_alt 'R -3 m'
_space_group_IT_number 166
_space_group_name_Hall '-R 3 2"'
_cell_length_a 3.0857
_cell_length_b 3.0857
_cell_length_c 27.4972
_cell_angle_alpha 90.00
_cell_angle_beta 90.00
_cell_angle_gamma 120.00
loop_
_atom_site_label
_atom_site_type_symbol
_atom_site_fract_x
_atom_site_fract_y
_atom_site_fract_z
Tl1 Tl 0.0000 0.0000 0.2463
Ru1 Ru 0.0000 0.0000 0.5000
W1 W 0.0000 0.0000 0.0000